(1)
The following is a PBE calculation of La2PuOsN4 after structural relaxation, from the Alexandria database.

Computed properties:
Total moment, μB per atom: 0.480
Total DFT energy (no corrections), eV per cell: -148.660
Formation energy without anion corrections, meV/atom: -701.5

Cell lengths 6.1873, 6.1873, 12.4264 Å; angles 90.00, 90.00, 148.26 degrees
Fractional positions:
La  0.1333  0.8667  0.5478
La  0.1333  0.8667  0.9522
La  0.8667  0.1333  0.0478
La  0.8667  0.1333  0.4522
Pu  0.3897  0.6103  0.7500
Pu  0.6103  0.3897  0.2500
Os  0.3484  0.6516  0.2500
Os  0.6516  0.3484  0.7500
N  0.0452  0.9548  0.7500
N  0.2144  0.7856  0.1470
N  0.2144  0.7856  0.3530
N  0.5000  0.5000  0.0000
N  0.5000  0.5000  0.5000
N  0.7856  0.2144  0.6470
N  0.7856  0.2144  0.8530
N  0.9548  0.0452  0.2500

=====

(2)
The following is a PBE calculation of LaOsRuN2 after structural relaxation, from the Alexandria database.

Computed properties:
Total moment, μB per atom: 0.235
Total DFT energy (no corrections), eV per cell: -35.768
Formation energy without anion corrections, meV/atom: 1263.1

Cell lengths 3.8337, 3.8337, 6.4327 Å; angles 90.00, 90.00, 90.00 degrees
Fractional positions:
La  0.0000  0.0000  0.0000
Os  0.5000  0.5000  0.0000
Ru  0.0000  0.0000  0.5000
N  0.0000  0.5000  0.5000
N  0.5000  0.0000  0.5000

=====

(3)
The following is a PBE calculation of LaOsSeN2 after structural relaxation, from the Alexandria database.

Computed properties:
Total moment, μB per atom: 0.699
Total DFT energy (no corrections), eV per cell: -28.117
Formation energy without anion corrections, meV/atom: 1635.2

Cell lengths 4.1004, 4.1004, 6.4181 Å; angles 90.00, 90.00, 90.00 degrees
Fractional positions:
La  0.0000  0.0000  0.0000
Os  0.5000  0.5000  0.5000
Se  0.0000  0.0000  0.5000
N  0.0000  0.5000  0.0000
N  0.5000  0.0000  0.0000

=====

(4)
The following is a PBE calculation of LaOsSeN2 after structural relaxation, from the Alexandria database.

Computed properties:
Total moment, μB per atom: 0.000
Total DFT energy (no corrections), eV per cell: -37.312
Formation energy without anion corrections, meV/atom: -203.9

Cell lengths 4.0055, 4.0055, 5.1587 Å; angles 90.00, 90.00, 90.00 degrees
Fractional positions:
La  0.0000  0.0000  0.0000
Os  0.5000  0.5000  0.5000
Se  0.5000  0.5000  0.0000
N  0.0000  0.5000  0.5000
N  0.5000  0.0000  0.5000

=====

(5)
The following is a PBE calculation of LaSiOsN after structural relaxation, from the Alexandria database.

Computed properties:
Total moment, μB per atom: 0.000
Total DFT energy (no corrections), eV per cell: -67.858
Formation energy without anion corrections, meV/atom: -1005.8

Cell lengths 4.0497, 4.0497, 8.2412 Å; angles 90.00, 90.00, 90.00 degrees
Fractional positions:
La  0.2500  0.2500  0.1604
La  0.7500  0.7500  0.8396
Si  0.2500  0.2500  0.6540
Si  0.7500  0.7500  0.3460
Os  0.2500  0.7500  0.5000
Os  0.7500  0.2500  0.5000
N  0.2500  0.2500  0.8684
N  0.7500  0.7500  0.1316

=====

(6)
The following is a PBE calculation of LaSm2OsN4 after structural relaxation, from the Alexandria database.

Computed properties:
Total moment, μB per atom: 0.000
Total DFT energy (no corrections), eV per cell: -131.856
Formation energy without anion corrections, meV/atom: -878.9

Cell lengths 6.2552, 6.2552, 11.9940 Å; angles 90.00, 90.00, 147.42 degrees
Fractional positions:
La  0.1160  0.8840  0.7500
La  0.8840  0.1160  0.2500
Sm  0.3683  0.6317  0.5415
Sm  0.3683  0.6317  0.9585
Sm  0.6317  0.3683  0.0415
Sm  0.6317  0.3683  0.4585
Os  0.1492  0.8508  0.2500
Os  0.8508  0.1492  0.7500
N  0.0000  0.0000  0.0000
N  0.0000  0.0000  0.5000
N  0.2694  0.7306  0.1317
N  0.2694  0.7306  0.3683
N  0.4296  0.5704  0.7500
N  0.5704  0.4296  0.2500
N  0.7306  0.2694  0.6317
N  0.7306  0.2694  0.8683

=====

(7)
The following is a PBE calculation of La2SnOsN after structural relaxation, from the Alexandria database.

Computed properties:
Total moment, μB per atom: 0.000
Total DFT energy (no corrections), eV per cell: -36.547
Formation energy without anion corrections, meV/atom: -626.8

Cell lengths 5.4412, 5.4412, 3.8702 Å; angles 90.00, 90.00, 90.00 degrees
Fractional positions:
La  0.0000  0.5000  0.0000
La  0.5000  0.0000  0.0000
Sn  0.0000  0.0000  0.5000
Os  0.5000  0.5000  0.5000
N  0.5000  0.5000  0.0000

=====

(8)
The following is a PBE calculation of La6Sn2OsN after structural relaxation, from the Alexandria database.

Computed properties:
Total moment, μB per atom: 0.000
Total DFT energy (no corrections), eV per cell: -63.319
Formation energy without anion corrections, meV/atom: -619.3

Cell lengths 7.4226, 7.4227, 7.4284 Å; angles 61.65, 61.89, 61.80 degrees
Fractional positions:
La  0.1817  0.2573  0.2983
La  0.2391  0.2028  0.8164
La  0.2989  0.6801  0.7627
La  0.7011  0.3199  0.2373
La  0.7609  0.7972  0.1836
La  0.8183  0.7427  0.7017
Sn  0.2489  0.7485  0.2495
Sn  0.7511  0.2515  0.7505
Os  0.5000  0.0000  0.5000
N  0.0000  0.5000  0.0000

=====

(9)
The following is a PBE calculation of SrLaOsN2 after structural relaxation, from the Alexandria database.

Computed properties:
Total moment, μB per atom: 0.000
Total DFT energy (no corrections), eV per cell: -73.211
Formation energy without anion corrections, meV/atom: -423.1

Cell lengths 5.2182, 5.8215, 7.4039 Å; angles 90.00, 90.00, 90.00 degrees
Fractional positions:
Sr  0.0000  0.0000  0.2500
Sr  0.0000  0.0000  0.7500
La  0.5000  0.5000  0.2500
La  0.5000  0.5000  0.7500
Os  0.5000  0.0000  0.0000
Os  0.5000  0.0000  0.5000
N  0.3100  0.2697  0.0000
N  0.3100  0.7303  0.5000
N  0.6901  0.2697  0.5000
N  0.6901  0.7303  0.0000

=====

(10)
The following is a PBE calculation of SrLa2Os2N6 after structural relaxation, from the Alexandria database.

Computed properties:
Total moment, μB per atom: 0.000
Total DFT energy (no corrections), eV per cell: -88.443
Formation energy without anion corrections, meV/atom: -408.6

Cell lengths 7.2166, 7.2166, 7.2166 Å; angles 47.71, 47.71, 47.71 degrees
Fractional positions:
Sr  0.0000  0.0000  0.0000
La  0.2052  0.2052  0.2052
La  0.7948  0.7948  0.7948
Os  0.4066  0.4066  0.4066
Os  0.5934  0.5934  0.5934
N  0.2270  0.7334  0.7334
N  0.2666  0.2666  0.7730
N  0.2666  0.7730  0.2666
N  0.7334  0.2270  0.7334
N  0.7334  0.7334  0.2270
N  0.7730  0.2666  0.2666

=====

(11)
The following is a PBE calculation of Sr2LaOsN4 after structural relaxation, from the Alexandria database.

Computed properties:
Total moment, μB per atom: 0.000
Total DFT energy (no corrections), eV per cell: -112.292
Formation energy without anion corrections, meV/atom: -415.4

Cell lengths 6.3234, 6.3234, 12.7753 Å; angles 90.00, 90.00, 147.12 degrees
Fractional positions:
Sr  0.1321  0.8679  0.5356
Sr  0.1321  0.8679  0.9644
Sr  0.8679  0.1321  0.0356
Sr  0.8679  0.1321  0.4644
La  0.3894  0.6106  0.7500
La  0.6106  0.3894  0.2500
Os  0.3371  0.6629  0.2500
Os  0.6629  0.3371  0.7500
N  0.0929  0.9071  0.7500
N  0.2246  0.7754  0.1458
N  0.2246  0.7754  0.3542
N  0.5000  0.5000  0.0000
N  0.5000  0.5000  0.5000
N  0.7754  0.2246  0.6458
N  0.7754  0.2246  0.8542
N  0.9071  0.0929  0.2500

=====

(12)
The following is a PBE calculation of La2TbOs2N6 after structural relaxation, from the Alexandria database.

Computed properties:
Total moment, μB per atom: 0.000
Total DFT energy (no corrections), eV per cell: -92.992
Formation energy without anion corrections, meV/atom: -554.1

Cell lengths 6.9037, 6.9037, 6.9037 Å; angles 49.49, 49.49, 49.49 degrees
Fractional positions:
La  0.2088  0.2088  0.2088
La  0.7912  0.7912  0.7912
Tb  0.0000  0.0000  0.0000
Os  0.3980  0.3980  0.3980
Os  0.6020  0.6020  0.6020
N  0.2278  0.7408  0.7407
N  0.2593  0.2592  0.7722
N  0.2593  0.7722  0.2593
N  0.7408  0.2278  0.7408
N  0.7408  0.7408  0.2278
N  0.7722  0.2593  0.2593

=====

(13)
The following is a PBE calculation of LaTb2OsN4 after structural relaxation, from the Alexandria database.

Computed properties:
Total moment, μB per atom: 0.000
Total DFT energy (no corrections), eV per cell: -132.864
Formation energy without anion corrections, meV/atom: -964.1

Cell lengths 6.1718, 6.1718, 11.7582 Å; angles 90.00, 90.00, 147.25 degrees
Fractional positions:
La  0.1135  0.8865  0.7500
La  0.8865  0.1135  0.2500
Tb  0.3686  0.6314  0.5414
Tb  0.3686  0.6314  0.9586
Tb  0.6314  0.3686  0.0414
Tb  0.6314  0.3686  0.4586
Os  0.1483  0.8517  0.2500
Os  0.8517  0.1483  0.7500
N  0.0000  0.0000  0.0000
N  0.0000  0.0000  0.5000
N  0.2664  0.7336  0.1269
N  0.2664  0.7336  0.3731
N  0.4343  0.5657  0.7500
N  0.5657  0.4343  0.2500
N  0.7336  0.2664  0.6269
N  0.7336  0.2664  0.8731

=====

(14)
The following is a PBE calculation of LaTh2OsN5 after structural relaxation, from the Alexandria database.

Computed properties:
Total moment, μB per atom: 0.000
Total DFT energy (no corrections), eV per cell: -163.825
Formation energy without anion corrections, meV/atom: -1032.1

Cell lengths 7.6518, 7.6518, 7.6518 Å; angles 127.25, 127.25, 77.84 degrees
Fractional positions:
La  0.2500  0.2500  0.0000
La  0.7500  0.7500  0.0000
Th  0.1806  0.6806  0.8611
Th  0.3194  0.1806  0.5000
Th  0.6806  0.8194  0.5000
Th  0.8194  0.3194  0.1389
Os  0.2500  0.7500  0.5000
Os  0.7500  0.2500  0.5000
N  0.0000  0.0000  0.0000
N  0.0062  0.2206  0.5000
N  0.2206  0.7206  0.2144
N  0.2794  0.4938  0.5000
N  0.4938  0.9938  0.2144
N  0.5000  0.5000  0.0000
N  0.5062  0.0062  0.7856
N  0.7206  0.5062  0.5000
N  0.7794  0.2794  0.7856
N  0.9938  0.7794  0.5000

=====

(15)
The following is a PBE calculation of LaTm2OsN4 after structural relaxation, from the Alexandria database.

Computed properties:
Total moment, μB per atom: 0.000
Total DFT energy (no corrections), eV per cell: -133.227
Formation energy without anion corrections, meV/atom: -1026.5

Cell lengths 6.0924, 6.0924, 11.5541 Å; angles 90.00, 90.00, 147.18 degrees
Fractional positions:
La  0.1121  0.8879  0.7500
La  0.8879  0.1121  0.2500
Tm  0.3688  0.6312  0.5411
Tm  0.3688  0.6312  0.9589
Tm  0.6312  0.3688  0.0411
Tm  0.6312  0.3688  0.4589
Os  0.1480  0.8520  0.2500
Os  0.8520  0.1480  0.7500
N  0.0000  0.0000  0.0000
N  0.0000  0.0000  0.5000
N  0.2638  0.7362  0.1222
N  0.2638  0.7362  0.3778
N  0.4373  0.5627  0.7500
N  0.5627  0.4373  0.2500
N  0.7362  0.2638  0.6222
N  0.7362  0.2638  0.8778

=====

(16)
The following is a PBE calculation of La2YOs2N6 after structural relaxation, from the Alexandria database.

Computed properties:
Total moment, μB per atom: 0.000
Total DFT energy (no corrections), eV per cell: -94.816
Formation energy without anion corrections, meV/atom: -553.2

Cell lengths 6.8941, 6.8941, 6.8941 Å; angles 49.54, 49.54, 49.54 degrees
Fractional positions:
La  0.2087  0.2087  0.2087
La  0.7913  0.7913  0.7913
Y  0.0000  0.0000  0.0000
Os  0.3977  0.3977  0.3977
Os  0.6023  0.6023  0.6023
N  0.2278  0.7410  0.7410
N  0.2590  0.2590  0.7722
N  0.2590  0.7722  0.2590
N  0.7410  0.2278  0.7410
N  0.7410  0.7410  0.2278
N  0.7722  0.2590  0.2590

=====

(17)
The following is a PBE calculation of La2ZnOsN after structural relaxation, from the Alexandria database.

Computed properties:
Total moment, μB per atom: 0.000
Total DFT energy (no corrections), eV per cell: -33.528
Formation energy without anion corrections, meV/atom: -568.9

Cell lengths 5.3100, 5.3100, 3.8390 Å; angles 90.00, 90.00, 90.00 degrees
Fractional positions:
La  0.0000  0.5000  0.0000
La  0.5000  0.0000  0.0000
Zn  0.0000  0.0000  0.5000
Os  0.5000  0.5000  0.5000
N  0.5000  0.5000  0.0000

=====

(18)
The following is a PBE calculation of La2PN after structural relaxation, from the Alexandria database.

Computed properties:
Total moment, μB per atom: 0.000
Total DFT energy (no corrections), eV per cell: -26.490
Formation energy without anion corrections, meV/atom: -725.0

Cell lengths 4.8754, 4.8754, 4.8754 Å; angles 60.00, 60.00, 60.00 degrees
Fractional positions:
La  0.2500  0.2500  0.2500
La  0.7500  0.7500  0.7500
P  0.0000  0.0000  0.0000
N  0.5000  0.5000  0.5000

=====

(19)
The following is a PBE calculation of La4PN2 after structural relaxation, from the Alexandria database.

Computed properties:
Total moment, μB per atom: 0.000
Total DFT energy (no corrections), eV per cell: -47.780
Formation energy without anion corrections, meV/atom: -858.5

Cell lengths 7.1734, 7.1734, 7.1734 Å; angles 133.67, 133.67, 67.61 degrees
Fractional positions:
La  0.0000  0.5000  0.5000
La  0.2470  0.2470  0.0000
La  0.5000  0.0000  0.5000
La  0.7530  0.7530  0.0000
P  0.5000  0.5000  0.0000
N  0.0558  0.0558  0.0000
N  0.9442  0.9442  0.0000

=====

(20)
The following is a PBE calculation of La3PN2 after structural relaxation, from the Alexandria database.

Computed properties:
Total moment, μB per atom: 0.000
Total DFT energy (no corrections), eV per cell: -44.530
Formation energy without anion corrections, meV/atom: -1281.2

Cell lengths 8.4267, 8.4267, 8.4267 Å; angles 151.70, 41.08, 150.85 degrees
Fractional positions:
La  0.0000  0.0000  0.0000
La  0.2105  0.8907  0.3197
La  0.5710  0.8907  0.6803
P  0.5199  0.0199  0.5000
N  0.2540  0.0822  0.1718
N  0.9105  0.0822  0.8282